Density functional theory data (GGA-PBE) for a geometry-optimized AlAgPt structure.

Results
Total magnetic moment (μB per formula unit): 0.00
Calculated formation energy (eV/atom): -0.452
DOS at the Fermi energy (states/eV per atom): 0.345
E (eV per atom): -4.66
Offset from the most stable computed form (meV per atom): 45.4

Lattice parameters (Å, degrees): 4.3433 4.3433 2.9786 90.00 90.00 120.00
Last column: nearest neighbours and their distance in Å.
Positions (direct):
Al  0.0000  0.0000  0.0000  3 Pt 2.51
Ag  0.3333  0.6667  0.5000  6 Al 2.92, 6 Pt 2.92, 2 Ag 2.98
Pt  0.6667  0.3333  0.0000  3 Al 2.51

---

Density functional theory data (GGA-PBE) for a geometry-optimized AlAgPt structure.

Results
Total magnetic moment (μB per formula unit): 0.00
Calculated formation energy (eV/atom): -0.329
DOS at the Fermi energy (states/eV per atom): 0.413
E (eV per atom): -4.54
Offset from the most stable computed form (meV per atom): 168.5

Lattice parameters (Å, degrees): 2.9479 2.9479 6.4955 90.00 90.00 120.00
Last column: nearest neighbours and their distance in Å.
Positions (direct):
Al  0.0000  0.0000  0.0000  3 Pt 2.53, 3 Ag 2.78
Ag  0.6667  0.3333  0.6621  3 Al 2.78, 6 Ag 2.95, 3 Pt 2.96
Pt  0.3333  0.6667  0.2885  3 Al 2.53

---

Density functional theory data (GGA-PBE) for a geometry-optimized Al2AgPt structure.

Results
Total magnetic moment (μB per formula unit): 0.00
Calculated formation energy (eV/atom): -0.301
DOS at the Fermi energy (states/eV per atom): 0.103
E (eV per atom): -4.40
Offset from the most stable computed form (meV per atom): 224.3

Lattice parameters (Å, degrees): 2.9119 2.9119 26.4583 90.00 90.00 120.00
Last column: nearest neighbours and their distance in Å.
Positions (direct):
Al  0.0000  0.0000  0.0000  3 Pt 2.56, 3 Al 2.79
Al  0.0000  0.0000  0.2491  3 Ag 2.77, 9 Al 2.79-2.91
Al  0.3333  0.6667  0.6667  3 Pt 2.56, 3 Al 2.79
Al  0.3333  0.6667  0.9158  3 Ag 2.77, 9 Al 2.79-2.91
Al  0.6667  0.3333  0.3333  3 Pt 2.56, 3 Al 2.79
Al  0.6667  0.3333  0.5825  3 Ag 2.77, 9 Al 2.79-2.91
Ag  0.0000  0.0000  0.4992  3 Al 2.77, 6 Ag 2.91, 3 Pt 2.97
Ag  0.3333  0.6667  0.1659  3 Al 2.77, 6 Ag 2.91, 3 Pt 2.97
Ag  0.6667  0.3333  0.8325  3 Al 2.77, 6 Ag 2.91, 3 Pt 2.97
Pt  0.0000  0.0000  0.7398  3 Al 2.56
Pt  0.3333  0.6667  0.4064  3 Al 2.56
Pt  0.6667  0.3333  0.0731  3 Al 2.56

---

Density functional theory data (GGA-PBE) for a geometry-optimized Al2AgPt structure.

Results
Total magnetic moment (μB per formula unit): 0.00
Calculated formation energy (eV/atom): -0.397
DOS at the Fermi energy (states/eV per atom): 0.363
E (eV per atom): -4.49
Offset from the most stable computed form (meV per atom): 128.2

Lattice parameters (Å, degrees): 4.5376 2.9309 5.0876 90.00 111.05 90.00
Last column: nearest neighbours and their distance in Å.
Positions (direct):
Al  0.0000  0.0000  0.0000  4 Pt 2.70, 2 Ag 2.73, 6 Al 2.93-2.94
Al  0.0000  0.5000  0.5000  4 Ag 2.70, 2 Pt 2.73, 6 Al 2.93-2.94
Ag  0.5000  0.0000  0.5000  6 Al 2.70-2.73, 2 Ag 2.93, 4 Pt 2.94
Pt  0.5000  0.5000  0.0000  6 Al 2.70-2.73, 2 Pt 2.93, 4 Ag 2.94

---

Density functional theory data (GGA-PBE) for a geometry-optimized Al2AgPt structure.

Results
Total magnetic moment (μB per formula unit): 0.00
Calculated formation energy (eV/atom): -0.385
DOS at the Fermi energy (states/eV per atom): 0.305
E (eV per atom): -4.48
Offset from the most stable computed form (meV per atom): 140.1

Lattice parameters (Å, degrees): 2.9541 2.9541 25.4523 90.00 90.00 120.00
Last column: nearest neighbours and their distance in Å.
Positions (direct):
Al  0.0000  0.0000  0.2451  3 Pt 2.63, 3 Ag 2.82
Al  0.0000  0.0000  0.7549  3 Pt 2.63, 3 Ag 2.82
Al  0.3333  0.6667  0.4216  3 Pt 2.63, 3 Ag 2.82
Al  0.3333  0.6667  0.9118  3 Pt 2.63, 3 Ag 2.82
Al  0.6667  0.3333  0.0882  3 Pt 2.63, 3 Ag 2.82
Al  0.6667  0.3333  0.5784  3 Pt 2.63, 3 Ag 2.82
Ag  0.0000  0.0000  0.0000  6 Al 2.82, 6 Ag 2.95
Ag  0.3333  0.6667  0.6667  6 Al 2.82, 6 Ag 2.95
Ag  0.6667  0.3333  0.3333  6 Al 2.82, 6 Ag 2.95
Pt  0.0000  0.0000  0.5000  6 Al 2.63
Pt  0.3333  0.6667  0.1667  6 Al 2.63
Pt  0.6667  0.3333  0.8333  6 Al 2.63

---

Density functional theory data (GGA-PBE) for a geometry-optimized Al2AgPt structure.

Results
Total magnetic moment (μB per formula unit): 0.00
Calculated formation energy (eV/atom): -0.184
DOS at the Fermi energy (states/eV per atom): 0.372
E (eV per atom): -4.28
Offset from the most stable computed form (meV per atom): 340.9

Lattice parameters (Å, degrees): 7.2281 7.2281 5.5018 90.00 90.00 90.00
Last column: nearest neighbours and their distance in Å.
Positions (direct):
Al  0.2154  0.2500  0.1250  2 Pt 2.48
Al  0.2500  0.7154  0.3750  2 Pt 2.48
Al  0.2500  0.7846  0.8750  2 Pt 2.48
Al  0.2846  0.2500  0.6250  2 Pt 2.48
Al  0.7154  0.7500  0.6250  2 Pt 2.48
Al  0.7500  0.2154  0.8750  2 Pt 2.48
Al  0.7500  0.2846  0.3750  2 Pt 2.48
Al  0.7846  0.7500  0.1250  2 Pt 2.48
Ag  0.0000  0.0000  0.5000  2 Pt 2.75, 4 Al 2.82
Ag  0.0000  0.5000  0.7500  2 Pt 2.75, 4 Al 2.82
Ag  0.5000  0.0000  0.2500  2 Pt 2.75, 4 Al 2.82
Ag  0.5000  0.5000  0.0000  2 Pt 2.75, 4 Al 2.82
Pt  0.0000  0.0000  0.0000  4 Al 2.48, 2 Ag 2.75
Pt  0.0000  0.5000  0.2500  4 Al 2.48, 2 Ag 2.75
Pt  0.5000  0.0000  0.7500  4 Al 2.48, 2 Ag 2.75
Pt  0.5000  0.5000  0.5000  4 Al 2.48, 2 Ag 2.75